Tm2MgAl | meta-GGA SCAN | PBEsol geometry

Calculated values
DFT formation energy ... -0.2695 eV/atom
Total DFT energy (no corrections) ... -29.367 eV per atom
Total magnetization ... 0.0001 μB/atom

abc: 7.169 7.169 7.169
angles: 90.00 90.00 90.00
Space group Fm-3m (No. 225)
Inequivalent atoms, fractional coordinates:
Tm 0.250 0.250 0.250 x8
Mg 0.000 0.000 0.000 x4
Al 0.000 0.000 0.500 x4

***

Ca2MnO3 | meta-GGA SCAN | PBEsol geometry

Calculated values
E_form (uncorrected) ... -2.777 eV per atom
Total DFT energy (no corrections) ... -12.157 eV per atom
Total magnetization ... 0.8333 μB/atom

abc: 3.316 3.316 13.795
angles: 90.00 90.00 90.00
Space group I4/mmm (No. 139)
Inequivalent atoms, fractional coordinates:
Ca 0.000 0.000 0.162 x4
Mn 0.000 0.000 0.500 x2
O 0.000 0.000 0.000 x2
O 0.000 0.000 0.340 x4

***

Zn2AgSb | meta-GGA SCAN | PBEsol geometry

Calculated values
E_form (uncorrected) ... 0.172 eV per atom
Total DFT energy (no corrections) ... -23.742 eV per atom
Total magnetization ... 0.0000 μB/atom

abc: 2.963 3.879 6.303
angles: 90.00 90.13 90.00
Space group P2/m (No. 10)
Inequivalent atoms, fractional coordinates:
Zn 0.003 0.000 0.211 x2
Ag 0.500 0.500 0.000 x1
Sb 0.500 0.500 0.500 x1

***

CeScGe | meta-GGA SCAN | PBEsol geometry

Calculated values
DFT formation energy ... -0.7106 eV/atom
Total DFT energy (no corrections) ... -26.673 eV per atom
Total magnetization ... 0.6720 μB/atom

abc: 4.198 4.198 15.771
angles: 90.00 90.00 90.00
Space group I4/mmm (No. 139)
Inequivalent atoms, fractional coordinates:
Ce 0.000 0.000 0.180 x4
Sc 0.000 0.500 0.000 x4
Ge 0.000 0.000 0.376 x4

***

CdSb2Te2 | meta-GGA SCAN | PBEsol geometry

Calculated values
E_form (uncorrected) ... 0.103 eV per atom
Energy above the most stable polymorph in this dataset ... 39 meV per atom
Total DFT energy (no corrections) ... -35.785 eV per atom
Total magnetization ... 0.0000 μB/atom

abc: 8.304 8.304 4.179
angles: 90.00 90.00 90.00
Space group P4/mbm (No. 127)
Inequivalent atoms, fractional coordinates:
Cd 0.000 0.000 0.000 x2
Sb 0.177 0.323 0.000 x4
Te 0.149 0.649 0.500 x4

***

Tl3Cd | meta-GGA SCAN | PBEsol geometry

Calculated values
DFT formation energy ... 0.0642 eV/atom
Total DFT energy (no corrections) ... -61.808 eV per atom
Total magnetization ... 0.0003 μB/atom

abc: 3.524 5.423 5.577
angles: 90.00 90.00 90.00
Space group Pmm2 (No. 25)
Inequivalent atoms, fractional coordinates:
Tl 0.000 0.000 0.000 x1
Tl 0.000 0.500 0.388 x1
Tl 0.500 0.500 0.883 x1
Cd 0.500 0.000 0.498 x1

***

CaTl2In | meta-GGA SCAN | PBEsol geometry

Calculated values
DFT formation energy ... -0.2737 eV/atom
Total DFT energy (no corrections) ... -47.215 eV per atom
Total magnetization ... 0.0000 μB/atom

abc: 3.531 5.261 5.900
angles: 90.00 95.51 90.00
Space group P2/m (No. 10)
Inequivalent atoms, fractional coordinates:
Ca 0.000 0.000 0.000 x1
Tl 0.300 0.500 0.742 x2
In 0.500 0.000 0.500 x1

***

LaTi2Tl2 | meta-GGA SCAN | PBEsol geometry

Calculated values
DFT formation energy ... -0.2554 eV/atom
Total DFT energy (no corrections) ... -44.232 eV per atom
Total magnetization ... 0.5341 μB/atom

abc: 4.265 4.265 13.231
angles: 90.00 90.00 90.00
Space group I4/mmm (No. 139)
Inequivalent atoms, fractional coordinates:
La 0.000 0.000 0.000 x2
Ti 0.000 0.500 0.250 x4
Tl 0.000 0.000 0.390 x4

***

Zn2InReN | meta-GGA SCAN | PBEsol geometry

Calculated values
E_form (uncorrected) ... 2.067 eV per atom
Total DFT energy (no corrections) ... -26.095 eV per atom
Total magnetization ... 0.5832 μB/atom

abc: 5.045 5.045 3.767
angles: 90.00 90.00 90.00
Space group P4/mmm (No. 123)
Inequivalent atoms, fractional coordinates:
Zn 0.000 0.500 0.000 x2
In 0.000 0.000 0.000 x1
Re 0.500 0.500 0.500 x1
N 0.000 0.000 0.500 x1

***

Li2Ta4O11 | meta-GGA SCAN | PBEsol geometry

Calculated values
E_form (uncorrected) ... -2.946 eV per atom
Total DFT energy (no corrections) ... -22.926 eV per atom
Total magnetization ... 0.0000 μB/atom

abc: 6.2097 6.2097 36.6351
angles: 90.00 90.00 120.00
Space group R-3c (No. 167, hexagonal axes)
Inequivalent atoms, fractional coordinates:
Li 0.0000 0.0000 0.1476 x12
Ta 0.0000 0.0000 0.0000 x6
Ta 0.0000 0.3605 0.2500 x18
O 0.0000 0.0000 0.0934 x12
O 0.0000 0.2453 0.7500 x18
O 0.0457 0.4375 0.1977 x36

***

PtRh2W | meta-GGA SCAN | PBEsol geometry

Calculated values
DFT formation energy ... -0.2164 eV/atom
Energy above the most stable polymorph in this dataset ... 56 meV per atom
Total DFT energy (no corrections) ... -52.072 eV per atom
Total magnetization ... 0.0001 μB/atom

abc: 2.707 3.889 5.428
angles: 90.00 90.00 90.00
Space group Pmm2 (No. 25)
Inequivalent atoms, fractional coordinates:
Pt 0.000 0.000 0.000 x1
Rh 0.000 0.000 0.502 x1
Rh 0.500 0.500 0.258 x1
W 0.500 0.500 0.740 x1

***

Hf3ScS | meta-GGA SCAN | PBEsol geometry

Calculated values
E_form (uncorrected) ... 1.416 eV per atom
Total DFT energy (no corrections) ... -40.961 eV per atom
Total magnetization ... 0.0000 μB/atom

abc: 4.916 4.916 4.916
angles: 90.00 90.00 90.00
Space group Pm-3m (No. 221)
Inequivalent atoms, fractional coordinates:
Hf 0.000 0.000 0.500 x3
Sc 0.000 0.000 0.000 x1
S 0.500 0.500 0.500 x1